Entry from the Open Quantum Materials Database: a relaxed Pr2GdMg5Cd crystal (PBE).

Output
energy = -2.6530 eV per atom
magnetization = 0.020 μB per cell
space-group type = Amm2 (38)
calculated volume = 245.85 Å³ per cell

The structure in POSCAR format:
```
Pr2GdMg5Cd
1.0
4.930 0.000 0.000
0.000 6.568 3.796
0.000 -6.568 3.796
Pr Gd Mg Cd
2 1 5 1
Cartesian
0.000 -3.797 3.796
0.000 3.797 3.796
0.000 0.000 2.735
2.465 0.000 0.146
2.465 -2.166 2.186
2.465 2.166 2.186
2.465 -1.531 5.079
2.465 1.531 5.079
0.000 0.000 5.916
```